Entry 1:
A relaxed BiAs2Se crystal. Source: the Alexandria database, functional PBE-GGA.

Lattice parameters (Å, degrees): 7.111 7.111 7.111 90.00 90.00 90.00
Space group Fm-3m (No. 225)
Unique sites:
Bi (0.000, 0.000, 0.000) x4
As (0.250, 0.250, 0.250) x8
Se (0.000, 0.000, 0.500) x4

Electronic total energy ... -60.60 eV for the cell shown
Size of the total moment ... 0.00 μB/cell
Crystal system ... cubic
Uncorrected formation energy ... 0.38 eV per atom



Entry 2:
A relaxed Bi3AsSe3 crystal. Source: the Alexandria database, functional PBE-GGA.

Lattice parameters (Å, degrees): 8.660 4.218 12.056 90.00 93.34 90.00
Space group P2_1/m (No. 11)
Unique sites:
Bi (0.135, 0.250, 0.361) x2
Bi (0.154, 0.250, 0.877) x2
Bi (0.362, 0.750, 0.647) x2
As (0.133, 0.250, 0.630) x2
Se (0.092, 0.250, 0.131) x2
Se (0.360, 0.750, 0.382) x2
Se (0.388, 0.750, 0.877) x2

Electronic total energy ... -56.93 eV for the cell shown
Size of the total moment ... 0.00 μB/cell
Crystal system ... monoclinic
Uncorrected formation energy ... -0.25 eV per atom



Entry 3:
A relaxed BiAs2Se6 crystal. Source: the Alexandria database, functional PBE-GGA.

Lattice parameters (Å, degrees): 14.164 11.178 7.343 90.00 119.57 90.00
Space group C2/c (No. 15)
Unique sites:
Bi (0.000, 0.093, 0.250) x4
As (0.204, 0.419, 0.385) x8
Se (0.069, 0.432, 0.603) x8
Se (0.145, 0.098, 0.706) x8
Se (0.152, 0.231, 0.198) x8

Electronic total energy ... -138.29 eV for the cell shown
Size of the total moment ... 0.00 μB/cell
Crystal system ... monoclinic
Uncorrected formation energy ... -0.05 eV per atom



Entry 4:
A relaxed SiBiAsSe2 crystal. Source: the Alexandria database, functional PBE-GGA.

Lattice parameters (Å, degrees): 4.882 4.882 4.861 90.00 90.00 90.00
Space group P4/mmm (No. 123)
Unique sites:
Si (0.000, 0.000, 0.000) x1
Bi (0.500, 0.500, 0.500) x1
As (0.000, 0.000, 0.500) x1
Se (0.000, 0.500, 0.000) x2

Electronic total energy ... -19.70 eV for the cell shown
Size of the total moment ... 0.00 μB/cell
Crystal system ... tetragonal
Uncorrected formation energy ... 0.25 eV per atom



Entry 5:
A relaxed SiBiAsSe2 crystal. Source: the Alexandria database, functional PBE-GGA.

Lattice parameters (Å, degrees): 5.455 5.455 5.429 90.00 90.00 90.00
Space group P4/mmm (No. 123)
Unique sites:
Si (0.000, 0.000, 0.000) x1
Bi (0.500, 0.500, 0.500) x1
As (0.500, 0.500, 0.000) x1
Se (0.000, 0.500, 0.500) x2

Electronic total energy ... -15.74 eV for the cell shown
Size of the total moment ... 0.00 μB/cell
Crystal system ... tetragonal
Uncorrected formation energy ... 1.04 eV per atom



Entry 6:
A relaxed Sm4BiAs2Se crystal. Source: the Alexandria database, functional PBE-GGA.

Lattice parameters (Å, degrees): 7.417 4.283 7.480 90.00 109.24 90.00
Space group P2/m (No. 10)
Unique sites:
Sm (0.238, 0.000, 0.232) x2
Sm (0.250, 0.500, 0.765) x2
Bi (0.500, 0.500, 0.500) x1
As (0.000, 0.500, 0.000) x1
As (0.500, 0.000, 0.000) x1
Se (0.000, 0.000, 0.500) x1

Electronic total energy ... -47.26 eV for the cell shown
Size of the total moment ... 0.00 μB/cell
Crystal system ... monoclinic
Uncorrected formation energy ... -1.47 eV per atom



Entry 7:
A relaxed Sm4Bi2AsSe crystal. Source: the Alexandria database, functional PBE-GGA.

Lattice parameters (Å, degrees): 7.552 4.365 7.619 90.00 109.25 90.00
Space group P2/m (No. 10)
Unique sites:
Sm (0.239, 0.000, 0.229) x2
Sm (0.251, 0.500, 0.768) x2
Bi (0.000, 0.000, 0.500) x1
Bi (0.500, 0.500, 0.500) x1
As (0.000, 0.500, 0.000) x1
Se (0.500, 0.000, 0.000) x1

Electronic total energy ... -45.15 eV for the cell shown
Size of the total moment ... 0.00 μB/cell
Crystal system ... monoclinic
Uncorrected formation energy ... -1.30 eV per atom



Entry 8:
A relaxed Sm4BiAsSe2 crystal. Source: the Alexandria database, functional PBE-GGA.

Lattice parameters (Å, degrees): 7.373 4.285 7.496 90.00 109.52 90.00
Space group P2/m (No. 10)
Unique sites:
Sm (0.241, 0.000, 0.231) x2
Sm (0.253, 0.500, 0.765) x2
Bi (0.500, 0.500, 0.500) x1
As (0.500, 0.000, 0.000) x1
Se (0.000, 0.000, 0.500) x1
Se (0.000, 0.500, 0.000) x1

Electronic total energy ... -46.53 eV for the cell shown
Size of the total moment ... 0.00 μB/cell
Crystal system ... monoclinic
Uncorrected formation energy ... -1.52 eV per atom